CuAg8: optimized geometry, PBE.

extended XYZ file:
```
9
Lattice="5.0312 0.0000 0.0000 0.8412 4.9758 0.0000 0.8030 1.5601 6.2460" Properties=species:S:1:pos:R:3 pbc="T T T"
Cu 0.0000 0.0000 0.0000
Ag 1.6428 3.9818 4.8905
Ag 1.6500 1.4231 3.5066
Ag 2.4836 3.8464 2.0600
Ag 2.5132 1.2499 0.6793
Ag 4.1622 5.2860 5.5666
Ag 4.1918 2.6895 4.1859
Ag 5.0254 5.1128 2.7394
Ag 5.0326 2.5541 1.3554
```

Calculated formation energy in eV per atom: 0.0341
Calculated volume in Å³/atom: 17.37
Relative energy among the computed polymorphs in meV/atom: 14.0